# 1
Material: Th2As3Ir4Pd
Method: DFT, PBE
State: relaxed

Cell lengths 4.087, 4.087, 11.283 Å; angles 90.00, 90.00, 90.00 degrees
Positions (direct):
Ir 0.000 0.000 0.000
Ir 0.000 0.500 0.336
Ir 0.500 0.500 0.000
Ir 0.500 0.000 0.664
As 0.000 0.500 0.126
As 0.500 0.000 0.874
As 0.000 0.000 0.500
Pd 0.500 0.500 0.500
Th 0.500 0.000 0.259
Th 0.000 0.500 0.741

- Spin magnetization: 0.00 μB/f.u.
- Theoretical density: 13.78 g/cm3
- Raw total energy: -7.662 eV/atom
- ΔE_f: -7.19 eV/f.u.


# 2
Material: Th2As4Ir3Pd
Method: DFT, PBE
State: relaxed

Cell lengths 4.412, 4.412, 9.757 Å; angles 90.00, 90.00, 90.00 degrees
Positions (direct):
As 0.000 0.000 0.000
As 0.500 0.000 0.634
As 0.000 0.500 0.366
As 0.500 0.500 0.000
Th 0.500 0.000 0.250
Th 0.000 0.500 0.750
Ir 0.000 0.000 0.500
Ir 0.000 0.500 0.116
Ir 0.500 0.000 0.884
Pd 0.500 0.500 0.500

- Spin magnetization: 0.00 μB/f.u.
- Theoretical density: 12.65 g/cm3
- Raw total energy: -7.328 eV/atom
- ΔE_f: -8.07 eV/f.u.


# 3
Material: UAs2IrPd2
Method: DFT, PBE
State: relaxed

Cell lengths 3.958, 6.901, 7.962 Å; angles 90.00, 90.00, 90.00 degrees
Positions (direct):
As 0.000 0.703 0.150
As 0.500 0.797 0.669
As 0.000 0.203 0.850
As 0.500 0.297 0.331
Pd 0.000 0.335 0.133
Pd 0.500 0.009 0.121
Pd 0.500 0.509 0.879
Pd 0.000 0.835 0.867
Ir 0.500 0.708 0.360
Ir 0.500 0.208 0.640
U 0.000 0.994 0.444
U 0.000 0.494 0.556

- Spin magnetization: 1.45 μB/f.u.
- Theoretical density: 12.11 g/cm3
- Raw total energy: -7.065 eV/atom
- ΔE_f: -2.56 eV/f.u.


# 4
Material: PmAs2Ir3
Method: DFT, PBE
State: relaxed

Cell lengths 4.044, 8.500, 9.995 Å; angles 106.85, 90.00, 103.76 degrees
Positions (direct):
Ir 0.043 0.085 0.325
Ir 0.778 0.556 0.607
Ir 0.500 0.000 0.500
Ir 0.222 0.444 0.393
Ir 0.957 0.915 0.675
Ir 0.324 0.648 0.047
Ir 0.627 0.255 0.210
Ir 0.373 0.745 0.790
Ir 0.676 0.352 0.953
Pm 0.845 0.690 0.304
Pm 0.155 0.310 0.696
Pm 0.000 0.000 0.000
As 0.198 0.395 0.129
As 0.637 0.274 0.457
As 0.363 0.726 0.543
As 0.538 0.076 0.780
As 0.802 0.605 0.871
As 0.462 0.924 0.220

- Spin magnetization: 0.00 μB/f.u.
- Theoretical density: 13.63 g/cm3
- Raw total energy: -7.370 eV/atom
- ΔE_f: -3.59 eV/f.u.


# 5
Material: Pm8AsIr5
Method: DFT, PBE
State: relaxed

Cell lengths 7.687, 7.687, 7.687 Å; angles 109.19, 110.03, 109.19 degrees
Positions (direct):
Pm 0.997 0.120 0.752
Pm 0.627 0.370 0.875
Pm 0.248 0.244 0.368
Pm 0.505 0.630 0.256
Pm 0.125 0.752 0.495
Pm 0.123 0.756 0.003
Pm 0.744 0.248 0.373
Pm 0.632 0.880 0.877
Ir 0.876 0.872 0.243
Ir 0.757 0.632 0.629
Ir 0.371 0.128 0.004
Ir 0.996 0.368 0.124
Ir 0.500 0.000 0.500
As 0.250 0.500 0.750

- Spin magnetization: 0.00 μB/f.u.
- Theoretical density: 10.43 g/cm3
- Raw total energy: -6.921 eV/atom
- ΔE_f: -9.93 eV/f.u.


# 6
Material: Pm3AsIr
Method: DFT, PBE
State: relaxed

Cell lengths 5.456, 5.456, 5.456 Å; angles 90.00, 90.00, 90.00 degrees
Positions (direct):
As 0.500 0.500 0.500
Pm 0.500 0.000 0.000
Pm 0.000 0.000 0.500
Pm 0.000 0.500 0.000
Ir 0.000 0.000 0.000

- Spin magnetization: 0.00 μB/f.u.
- Theoretical density: 7.18 g/cm3
- Raw total energy: -5.898 eV/atom
- ΔE_f: -1.73 eV/f.u.


# 7
Material: PmAs3Ir3
Method: DFT, PBE
State: relaxed

Cell lengths 6.748, 6.748, 6.748 Å; angles 90.00, 90.00, 90.00 degrees
Positions (direct):
As 0.750 0.500 0.000
As 0.500 0.000 0.750
As 0.500 0.000 0.250
As 0.250 0.500 0.000
As 0.000 0.750 0.500
As 0.000 0.250 0.500
Ir 0.000 0.500 0.750
Ir 0.500 0.250 0.000
Ir 0.000 0.500 0.250
Ir 0.500 0.750 0.000
Ir 0.750 0.000 0.500
Ir 0.250 0.000 0.500
Pm 0.500 0.500 0.500
Pm 0.000 0.000 0.000

- Spin magnetization: 0.00 μB/f.u.
- Theoretical density: 10.23 g/cm3
- Raw total energy: -6.666 eV/atom
- ΔE_f: -1.38 eV/f.u.


# 8
Material: Pm2As4Ir3Pt
Method: DFT, PBE
State: relaxed

Cell lengths 4.382, 4.382, 9.819 Å; angles 90.00, 90.00, 90.00 degrees
Positions (direct):
As 0.500 0.500 0.000
As 0.000 0.500 0.363
As 0.500 0.000 0.637
As 0.000 0.000 0.000
Ir 0.000 0.000 0.500
Ir 0.000 0.500 0.116
Ir 0.500 0.000 0.884
Pm 0.500 0.000 0.246
Pm 0.000 0.500 0.754
Pt 0.500 0.500 0.500

- Spin magnetization: 0.00 μB/f.u.
- Theoretical density: 11.99 g/cm3
- Raw total energy: -6.826 eV/atom
- ΔE_f: -7.54 eV/f.u.


# 9
Material: Pm2As3IrRh4
Method: DFT, PBE
State: relaxed

Cell lengths 4.229, 4.229, 10.296 Å; angles 90.00, 90.00, 90.00 degrees
Positions (direct):
Rh 0.000 0.000 0.000
Rh 0.500 0.000 0.634
Rh 0.500 0.500 0.000
Rh 0.000 0.500 0.366
Pm 0.500 0.000 0.253
Pm 0.000 0.500 0.747
As 0.000 0.500 0.133
As 0.000 0.000 0.500
As 0.500 0.000 0.867
Ir 0.500 0.500 0.500

- Spin magnetization: 0.00 μB/f.u.
- Theoretical density: 10.09 g/cm3
- Raw total energy: -6.925 eV/atom
- ΔE_f: -7.53 eV/f.u.


# 10
Material: Pm2As4Ir3Rh
Method: DFT, PBE
State: relaxed

Cell lengths 4.298, 4.298, 10.049 Å; angles 90.00, 90.00, 90.00 degrees
Positions (direct):
As 0.500 0.000 0.637
As 0.000 0.000 0.000
As 0.000 0.500 0.363
As 0.500 0.500 0.000
Ir 0.500 0.000 0.879
Ir 0.000 0.500 0.121
Ir 0.000 0.000 0.500
Pm 0.500 0.000 0.248
Pm 0.000 0.500 0.752
Rh 0.500 0.500 0.500

- Spin magnetization: 0.00 μB/f.u.
- Theoretical density: 11.36 g/cm3
- Raw total energy: -6.997 eV/atom
- ΔE_f: -7.93 eV/f.u.


# 11
Material: PmAs2IrRh2
Method: DFT, PBE
State: relaxed

Cell lengths 4.140, 4.771, 12.522 Å; angles 90.00, 90.00, 90.00 degrees
Positions (direct):
Pm 0.000 0.000 0.500
Pm 0.500 0.500 0.000
As 0.500 0.322 0.681
As 0.000 0.822 0.819
As 0.500 0.678 0.319
As 0.000 0.178 0.181
Ir 0.500 0.500 0.500
Ir 0.000 0.000 0.000
Rh 0.000 0.566 0.657
Rh 0.500 0.066 0.843
Rh 0.500 0.934 0.157
Rh 0.000 0.434 0.343

- Spin magnetization: 0.00 μB/f.u.
- Theoretical density: 9.31 g/cm3
- Raw total energy: -6.720 eV/atom
- ΔE_f: -2.71 eV/f.u.


# 12
Material: Pm2As4Ir3Ru
Method: DFT, PBE
State: relaxed

Cell lengths 4.299, 4.299, 9.992 Å; angles 90.00, 90.00, 90.00 degrees
Positions (direct):
Ru 0.500 0.500 0.500
Ir 0.000 0.000 0.500
Ir 0.500 0.000 0.877
Ir 0.000 0.500 0.123
Pm 0.000 0.500 0.754
Pm 0.500 0.000 0.246
As 0.500 0.500 0.000
As 0.000 0.500 0.367
As 0.500 0.000 0.633
As 0.000 0.000 0.000

- Spin magnetization: 0.00 μB/f.u.
- Theoretical density: 11.40 g/cm3
- Raw total energy: -7.160 eV/atom
- ΔE_f: -7.64 eV/f.u.